Density functional theory data (PBE) for a relaxed Co2PW crystal.

```
4
Lattice="4.476 -0.252 -0.146 1.697 4.149 0.146 -2.721 -2.528 2.515" Properties=species:S:1:pos:R:3 pbc="T T T"
W 1.187 1.883 1.331
Co 2.175 -0.571 1.185
Co 6.119 3.863 0.000
P 3.231 2.040 0.000
```

Output
VASP energy in eV per atom: -8.266
ρ in kg/m³: 11385